Record 1
HfNbF2, relaxed, DFT PBE; formation energy (no corrections) = -1.5058 eV per atom; E_tot = -7.4472 eV per atom; energy above the most stable polymorph in this dataset = 0.0 meV/atom
1.0
1.438 0.830 7.981
-1.438 0.830 7.981
0.000 -1.660 7.981
Hf Nb F
1 1 2
Direct
0.000 0.000 0.000 Hf
0.500 0.500 0.500 Nb
0.402 0.402 0.402 F
0.598 0.598 0.598 F

***

Record 2
HfNb3F, relaxed, DFT PBE; formation energy (no corrections) = 1.7122 eV per atom; E_tot = -6.6946 eV per atom; energy above the most stable polymorph in this dataset = 1801.6 meV/atom
1.0
4.996 0.000 0.000
0.000 4.996 0.000
0.000 0.000 4.996
Hf Nb F
1 3 1
Direct
0.000 0.000 0.000 Hf
0.000 0.000 0.500 Nb
0.000 0.500 0.000 Nb
0.500 0.000 0.000 Nb
0.500 0.500 0.500 F

***

Record 3
HfNb3F, relaxed, DFT PBE; formation energy (no corrections) = -0.0894 eV per atom; E_tot = -8.4962 eV per atom; energy above the most stable polymorph in this dataset = 0.0 meV/atom
1.0
4.428 0.000 0.000
0.000 4.428 0.000
0.000 0.000 4.428
Hf Nb F
1 3 1
Direct
0.000 0.000 0.000 Hf
0.000 0.500 0.500 Nb
0.500 0.000 0.500 Nb
0.500 0.500 0.000 Nb
0.500 0.500 0.500 F

***

Record 4
HfNbOF2, relaxed, DFT PBE; formation energy (no corrections) = -1.1134 eV per atom; E_tot = -6.8582 eV per atom; energy above the most stable polymorph in this dataset = 478.5 meV/atom
1.0
4.373 0.000 0.000
0.000 4.373 0.000
0.000 0.000 3.990
Hf Nb O F
1 1 1 2
Direct
0.000 0.000 0.000 Hf
0.500 0.500 0.500 Nb
0.500 0.500 0.000 O
0.000 0.500 0.500 F
0.500 0.000 0.500 F